A plane-wave DFT calculation with PBE+U was carried out for a relaxed NaCrGaO3 crystal.

a = 3.020 Å, b = 5.910 Å, c = 11.208 Å
α = 90.00°, β = 90.00°, γ = 104.81°
Last column: magnetic moment on the atom in μB.
Fractional positions:
O1 0.517 0.034 0.123  -0.03
O2 0.483 0.966 0.877  -0.03
O3 0.517 0.034 0.377  -0.03
O4 0.483 0.966 0.623  -0.03
O5 0.813 0.627 0.250  0.01
O6 0.187 0.373 0.750  0.01
Ga1 0.409 0.819 0.250  0.01
Ga2 0.591 0.181 0.750  0.01
Na1 0.148 0.296 0.250  0.00
Na2 0.852 0.704 0.750  0.00
Cr1 0.000 0.000 0.500  3.75
Cr2 0.000 0.000 0.000  3.75

Output
SG = Cmcm, No. 63
density = 3.31 g cm⁻³
M_tot = 4.00 μB/f.u.
electronic total energy = -6.20 eV per atom